Record 1
This record from Alexandria describes an optimized crystal structure of TaP3W. The functional is GGA-PBEsol. Values from VASP.

Quantum ESPRESSO input file:
```
&SYSTEM
  ibrav = 0, nat = 5, ntyp = 3
/
ATOMIC_SPECIES
Ta 180.95 Ta.upf
P 30.97 P.upf
W 183.84 W.upf
ATOMIC_POSITIONS crystal
Ta 0.000 0.000 0.000
P 0.000 0.500 0.500
P 0.500 0.000 0.500
P 0.500 0.500 0.000
W 0.500 0.500 0.500
CELL_PARAMETERS angstrom
4.592 0.000 0.000
0.000 4.592 0.000
0.000 0.000 4.592
```

Output
M_tot (μB per formula unit): 2.25
DFT total energy (eV/cell): -38.243
Space group: Pm-3m, No. 221
Energy relative to the elements (eV/atom): 1.0980

---

Record 2
This record from Alexandria describes an optimized crystal structure of YZnSi. The functional is GGA-PBEsol. Values from VASP.

Quantum ESPRESSO input file:
```
&SYSTEM
  ibrav = 0, nat = 3, ntyp = 3
/
ATOMIC_SPECIES
Y 88.91 Y.upf
Zn 65.41 Zn.upf
Si 28.09 Si.upf
ATOMIC_POSITIONS crystal
Y 0.000 0.000 0.000
Zn 0.667 0.333 0.500
Si 0.333 0.667 0.500
CELL_PARAMETERS angstrom
4.059 0.000 0.000
-2.030 3.515 0.000
0.000 0.000 3.993
```

Output
M_tot (μB per formula unit): 0.00
DFT total energy (eV/cell): -16.254
Raw formation energy (meV per atom): -701
Space group: P-6m2, No. 187

---

Record 3
This record from Alexandria describes an optimized crystal structure of Ir2Rh. The functional is GGA-PBEsol. Values from VASP.

Quantum ESPRESSO input file:
```
&SYSTEM
  ibrav = 0, nat = 6, ntyp = 2
/
ATOMIC_SPECIES
Ir 192.22 Ir.upf
Rh 102.91 Rh.upf
ATOMIC_POSITIONS crystal
Ir 0.000 0.000 0.168
Ir 0.000 0.000 0.832
Ir 0.500 0.500 0.332
Ir 0.500 0.500 0.668
Rh 0.000 0.000 0.500
Rh 0.500 0.500 0.000
CELL_PARAMETERS angstrom
2.698 0.000 0.000
0.000 2.698 0.000
0.000 0.000 11.430
```

Output
M_tot (μB per formula unit): 0.00
DFT total energy (eV/cell): -55.663
Space group: I4/mmm, No. 139
Distance to the lowest polymorph of the same formula (eV/atom): 0.010
Energy relative to the elements (eV/atom): -0.0154

---

Record 4
This record from Alexandria describes an optimized crystal structure of BaIn2GaH. The functional is GGA-PBEsol. Values from VASP.

Quantum ESPRESSO input file:
```
&SYSTEM
  ibrav = 0, nat = 5, ntyp = 4
/
ATOMIC_SPECIES
Ba 137.33 Ba.upf
In 114.82 In.upf
Ga 69.72 Ga.upf
H 1.01 H.upf
ATOMIC_POSITIONS crystal
Ba 0.000 0.000 0.000
In 0.000 0.500 0.000
In 0.500 0.000 0.000
Ga 0.500 0.500 0.500
H 0.000 0.000 0.500
CELL_PARAMETERS angstrom
6.412 0.000 0.000
0.000 6.412 0.000
0.000 0.000 4.328
```

Output
M_tot (μB per formula unit): 0.00
DFT total energy (eV/cell): -11.280
Space group: P4/mmm, No. 123

---

Record 5
This record from Alexandria describes an optimized crystal structure of Ta4Ir5. The functional is GGA-PBEsol. Values from VASP.

Quantum ESPRESSO input file:
```
&SYSTEM
  ibrav = 0, nat = 9, ntyp = 2
/
ATOMIC_SPECIES
Ta 180.95 Ta.upf
Ir 192.22 Ir.upf
ATOMIC_POSITIONS crystal
Ta 0.000 0.315 0.315
Ta 0.000 0.685 0.685
Ta 0.315 0.000 0.315
Ta 0.685 0.000 0.685
Ir 0.000 0.000 0.000
Ir 0.335 0.335 0.671
Ir 0.335 0.665 0.000
Ir 0.665 0.335 0.000
Ir 0.665 0.665 0.329
CELL_PARAMETERS angstrom
-4.231 4.231 1.953
4.231 -4.231 1.953
4.231 4.231 -1.953
```

Output
M_tot (μB per formula unit): 0.00
DFT total energy (eV/cell): -104.559
Space group: I4/mmm, No. 139
Energy relative to the elements (eV/atom): -0.5820

---

Record 6
This record from Alexandria describes an optimized crystal structure of Ba2HN. The functional is GGA-PBEsol. Values from VASP.

Quantum ESPRESSO input file:
```
&SYSTEM
  ibrav = 0, nat = 16, ntyp = 3
/
ATOMIC_SPECIES
Ba 137.33 Ba.upf
H 1.01 H.upf
N 14.01 N.upf
ATOMIC_POSITIONS crystal
Ba 0.234 0.250 0.125
Ba 0.250 0.734 0.375
Ba 0.250 0.766 0.875
Ba 0.266 0.250 0.625
Ba 0.734 0.750 0.625
Ba 0.750 0.234 0.875
Ba 0.750 0.266 0.375
Ba 0.766 0.750 0.125
H 0.000 0.000 0.500
H 0.000 0.500 0.750
H 0.500 0.000 0.250
H 0.500 0.500 0.000
N 0.000 0.000 0.000
N 0.000 0.500 0.250
N 0.500 0.000 0.750
N 0.500 0.500 0.500
CELL_PARAMETERS angstrom
6.009 0.000 0.000
0.000 6.009 0.000
0.000 0.000 12.177
```

Output
M_tot (μB per formula unit): 0.00
DFT total energy (eV/cell): -71.336
Space group: I-42d, No. 122

---

Record 7
This record from Alexandria describes an optimized crystal structure of LiReSeBr2. The functional is GGA-PBEsol. Values from VASP.

Quantum ESPRESSO input file:
```
&SYSTEM
  ibrav = 0, nat = 5, ntyp = 4
/
ATOMIC_SPECIES
Li 6.94 Li.upf
Re 186.21 Re.upf
Se 78.96 Se.upf
Br 79.90 Br.upf
ATOMIC_POSITIONS crystal
Li 0.000 0.000 0.000
Re 0.500 0.500 0.500
Se 0.500 0.500 0.000
Br 0.000 0.500 0.500
Br 0.500 0.000 0.500
CELL_PARAMETERS angstrom
5.275 0.000 0.000
0.000 5.275 0.000
0.000 0.000 4.664
```

Output
M_tot (μB per formula unit): 1.08
DFT total energy (eV/cell): -22.749
Raw formation energy (meV per atom): 28
Space group: P4/mmm, No. 123

---

Record 8
This record from Alexandria describes an optimized crystal structure of Ca2BeAlAs. The functional is GGA-PBEsol. Values from VASP.

Quantum ESPRESSO input file:
```
&SYSTEM
  ibrav = 0, nat = 5, ntyp = 4
/
ATOMIC_SPECIES
Ca 40.08 Ca.upf
Be 9.01 Be.upf
Al 26.98 Al.upf
As 74.92 As.upf
ATOMIC_POSITIONS crystal
Ca 0.000 0.500 0.000
Ca 0.500 0.000 0.000
Be 0.000 0.000 0.500
Al 0.000 0.000 0.000
As 0.500 0.500 0.500
CELL_PARAMETERS angstrom
5.578 0.000 0.000
0.000 5.578 0.000
0.000 0.000 4.240
```

Output
M_tot (μB per formula unit): 0.00
DFT total energy (eV/cell): -16.116
Space group: P4/mmm, No. 123
Energy relative to the elements (eV/atom): 0.2696